(1)
DFT (PBE) results for a geometry-optimized Cu2NiAu structure. Values from VASP.

Summary:
Size of the total moment (μB per formula unit): 0.000
Symmetry: F222, No. 22
Energy relative to the elements (eV per atom): 0.019
Density of states at the Fermi level (states/eV/f.u.): 2.0

```
&SYSTEM
  ibrav = 0, nat = 16, ntyp = 3
/
ATOMIC_SPECIES
Cu 63.55 Cu.upf
Ni 58.69 Ni.upf
Au 196.97 Au.upf
CELL_PARAMETERS angstrom
5.329 0.000 0.000
0.000 5.363 0.000
0.000 0.000 7.403
ATOMIC_POSITIONS angstrom
Cu 0.000 0.000 0.000
Cu 0.000 2.682 3.702
Cu 1.332 1.341 1.851
Cu 1.332 4.022 5.552
Cu 2.665 0.000 3.702
Cu 2.665 2.682 0.000
Cu 3.997 1.341 5.552
Cu 3.997 4.022 1.851
Ni 1.332 1.341 5.552
Ni 1.332 4.022 1.851
Ni 3.997 1.341 1.851
Ni 3.997 4.022 5.552
Au 0.000 0.000 3.702
Au 0.000 2.682 0.000
Au 2.665 0.000 0.000
Au 2.665 2.682 3.702
```

---

(2)
DFT (PBE) results for a geometry-optimized CuNiAu4 structure. Values from VASP.

Summary:
Size of the total moment (μB per formula unit): 0.672
Symmetry: F-43m, No. 216
Energy relative to the elements (eV per atom): 0.441
Density of states at the Fermi level (states/eV/f.u.): 8.8

```
&SYSTEM
  ibrav = 0, nat = 6, ntyp = 3
/
ATOMIC_SPECIES
Cu 63.55 Cu.upf
Ni 58.69 Ni.upf
Au 196.97 Au.upf
CELL_PARAMETERS angstrom
0.000 3.818 3.818
3.818 0.000 3.818
3.818 3.818 0.000
ATOMIC_POSITIONS angstrom
Cu 0.000 0.000 0.000
Ni 1.909 1.909 1.909
Au 4.772 2.863 2.863
Au 2.863 4.772 2.863
Au 2.863 2.863 4.772
Au 4.772 4.772 4.772
```

---

(3)
DFT (PBE) results for a geometry-optimized CuNi2Au2 structure. Values from VASP.

Summary:
Size of the total moment (μB per formula unit): 0.927
Symmetry: P4/mbm, No. 127
Energy relative to the elements (eV per atom): 0.219
Density of states at the Fermi level (states/eV/f.u.): 5.7

```
&SYSTEM
  ibrav = 0, nat = 10, ntyp = 3
/
ATOMIC_SPECIES
Cu 63.55 Cu.upf
Ni 58.69 Ni.upf
Au 196.97 Au.upf
CELL_PARAMETERS angstrom
6.258 0.000 0.000
0.000 6.258 0.000
0.000 0.000 3.751
ATOMIC_POSITIONS angstrom
Cu 0.000 0.000 0.000
Cu 3.129 3.129 0.000
Ni 0.829 2.300 0.000
Ni 2.300 5.429 0.000
Ni 3.958 0.829 0.000
Ni 5.429 3.958 0.000
Au 1.061 4.190 1.876
Au 2.068 1.061 1.876
Au 4.190 5.197 1.876
Au 5.197 2.068 1.876
```